No. 1
# SCAN NaY3P, PBEsol geometry
data_NaY3P
_chemical_formula_sum 'Na1 Y3 P1'
_symmetry_space_group_name_H-M 'P m -3 m'
_symmetry_Int_Tables_number 221
_symmetry_space_group_name_Hall '-P 4 2 3'
_cell_length_a 5.228
_cell_length_b 5.228
_cell_length_c 5.228
_cell_angle_alpha 90.00
_cell_angle_beta 90.00
_cell_angle_gamma 90.00
loop_
_atom_site_label
_atom_site_type_symbol
_atom_site_fract_x
_atom_site_fract_y
_atom_site_fract_z
_atom_site_occupancy
Na1 Na 0.000 0.000 0.000 1
Y1 Y 0.000 0.000 0.500 1
P1 P 0.500 0.500 0.500 1
# D(E_F) = 6.9 states/eV/f.u.
# Magnetic moment = 0.0 μB/cell
# Energy of formation = 0.94 eV/atom
# DFT total energy = -18.693 eV/atom

No. 2
# SCAN NaZrP2, PBEsol geometry
data_NaZrP2
_chemical_formula_sum 'Na4 Zr4 P8'
_symmetry_space_group_name_H-M 'I -4 2 d'
_symmetry_Int_Tables_number 122
_symmetry_space_group_name_Hall 'I -4 2bw'
_cell_length_a 7.056
_cell_length_b 7.056
_cell_length_c 6.295
_cell_angle_alpha 90.00
_cell_angle_beta 90.00
_cell_angle_gamma 90.00
loop_
_atom_site_label
_atom_site_type_symbol
_atom_site_fract_x
_atom_site_fract_y
_atom_site_fract_z
_atom_site_occupancy
Na1 Na 0.000 0.000 0.000 1
Zr1 Zr 0.000 0.000 0.500 1
P1 P 0.236 0.250 0.625 1
# D(E_F) = 0.9 states/eV/f.u.
# Magnetic moment = 0.0 μB/cell
# Energy of formation = -0.45 eV/atom
# DFT total energy = -14.380 eV/atom

No. 3
# SCAN Na15Pb4, PBEsol geometry
data_Na15Pb4
_chemical_formula_sum 'Na60 Pb16'
_symmetry_space_group_name_H-M 'I -4 3 d'
_symmetry_Int_Tables_number 220
_symmetry_space_group_name_Hall 'I -4bd 2c 3'
_cell_length_a 13.114
_cell_length_b 13.114
_cell_length_c 13.114
_cell_angle_alpha 90.00
_cell_angle_beta 90.00
_cell_angle_gamma 90.00
loop_
_atom_site_label
_atom_site_type_symbol
_atom_site_fract_x
_atom_site_fract_y
_atom_site_fract_z
_atom_site_occupancy
Na1 Na 0.000 0.250 0.875 1
Na2 Na 0.038 0.122 0.655 1
Pb1 Pb 0.041 0.041 0.041 1
# D(E_F) = 11.2 states/eV/f.u.
# Magnetic moment = 0.0 μB/cell
# Energy of formation = -0.24 eV/atom
# DFT total energy = -19.521 eV/atom

No. 4
# SCAN NaPb, PBEsol geometry
data_NaPb
_chemical_formula_sum 'Na32 Pb32'
_symmetry_space_group_name_H-M 'I 41/a c d'
_symmetry_Int_Tables_number 142
_cell_length_a 10.413
_cell_length_b 10.413
_cell_length_c 17.669
_cell_angle_alpha 90.00
_cell_angle_beta 90.00
_cell_angle_gamma 90.00
loop_
_symmetry_equiv_pos_as_xyz
'x,y,z'
'-x,-y,-z'
'-y+1/4,x+3/4,z+1/4'
'y+1/4,-x+3/4,-z+1/4'
'-x+1/2,-y,z+1/2'
'x+1/2,y,-z+1/2'
'y+1/4,-x+1/4,z+3/4'
'-y+1/4,x+1/4,-z+3/4'
'x,-y,-z+1/2'
'-x,y,z+1/2'
'-y+1/4,-x+1/4,-z+1/4'
'y+1/4,x+1/4,z+1/4'
'-x+1/2,y,-z'
'x+1/2,-y,z'
'y+1/4,x+3/4,-z+3/4'
'-y+1/4,-x+3/4,z+3/4'
'x+1/2,y+1/2,z+1/2'
'-x+1/2,-y+1/2,-z+1/2'
'-y+3/4,x+1/4,z+3/4'
'y+3/4,-x+1/4,-z+3/4'
'-x,-y+1/2,z'
'x,y+1/2,-z'
'y+3/4,-x+3/4,z+1/4'
'-y+3/4,x+3/4,-z+1/4'
'x+1/2,-y+1/2,-z'
'-x+1/2,y+1/2,z'
'-y+3/4,-x+3/4,-z+3/4'
'y+3/4,x+3/4,z+3/4'
'-x,y+1/2,-z+1/2'
'x,-y+1/2,z+1/2'
'y+3/4,x+1/4,-z+1/4'
'-y+3/4,-x+1/4,z+1/4'
loop_
_atom_site_label
_atom_site_type_symbol
_atom_site_fract_x
_atom_site_fract_y
_atom_site_fract_z
_atom_site_occupancy
Na1 Na 0.117 0.000 0.250 1
Na2 Na 0.125 0.125 0.625 1
Pb1 Pb 0.070 0.117 0.439 1
# Magnetic moment = 0.0 μB/cell
# Energy of formation = -0.32 eV/atom
# DFT total energy = -40.318 eV/atom

No. 5
# SCAN Na2PdPb2, PBEsol geometry
data_Na2PdPb2
_chemical_formula_sum 'Na4 Pd2 Pb4'
_symmetry_space_group_name_H-M 'P 4/m b m'
_symmetry_Int_Tables_number 127
_symmetry_space_group_name_Hall '-P 4 2ab'
_cell_length_a 7.087
_cell_length_b 7.087
_cell_length_c 5.182
_cell_angle_alpha 90.00
_cell_angle_beta 90.00
_cell_angle_gamma 90.00
loop_
_atom_site_label
_atom_site_type_symbol
_atom_site_fract_x
_atom_site_fract_y
_atom_site_fract_z
_atom_site_occupancy
Na1 Na 0.170 0.330 0.000 1
Pd1 Pd 0.000 0.000 0.500 1
Pb1 Pb 0.150 0.650 0.500 1
# D(E_F) = 2.8 states/eV/f.u.
# Magnetic moment = 0.0 μB/cell
# Energy of formation = -0.24 eV/atom
# DFT total energy = -38.796 eV/atom

No. 6
# SCAN NaPd2Pb2, PBEsol geometry
data_NaPd2Pb2
_chemical_formula_sum 'Na2 Pd4 Pb4'
_symmetry_space_group_name_H-M 'I 4/m m m'
_symmetry_Int_Tables_number 139
_symmetry_space_group_name_Hall '-I 4 2'
_cell_length_a 4.020
_cell_length_b 4.020
_cell_length_c 14.115
_cell_angle_alpha 90.00
_cell_angle_beta 90.00
_cell_angle_gamma 90.00
loop_
_atom_site_label
_atom_site_type_symbol
_atom_site_fract_x
_atom_site_fract_y
_atom_site_fract_z
_atom_site_occupancy
Na1 Na 0.000 0.000 0.000 1
Pd1 Pd 0.000 0.500 0.250 1
Pb1 Pb 0.000 0.000 0.382 1
# D(E_F) = 1.8 states/eV/f.u.
# Energy relative to the lowest polymorph listed for this composition = 0.0 meV/atom
# Magnetic moment = 0.0 μB/cell
# Energy of formation = -0.23 eV/atom
# DFT total energy = -44.491 eV/atom

No. 7
# SCAN NaPd2Pb2, PBEsol geometry
data_NaPd2Pb2
_chemical_formula_sum 'Na2 Pd4 Pb4'
_symmetry_space_group_name_H-M 'P 4/m b m'
_symmetry_Int_Tables_number 127
_symmetry_space_group_name_Hall '-P 4 2ab'
_cell_length_a 8.092
_cell_length_b 8.092
_cell_length_c 3.230
_cell_angle_alpha 90.00
_cell_angle_beta 90.00
_cell_angle_gamma 90.00
loop_
_atom_site_label
_atom_site_type_symbol
_atom_site_fract_x
_atom_site_fract_y
_atom_site_fract_z
_atom_site_occupancy
Na1 Na 0.000 0.000 0.000 1
Pd1 Pd 0.145 0.355 0.500 1
Pb1 Pb 0.149 0.649 0.000 1
# D(E_F) = 2.1 states/eV/f.u.
# Energy relative to the lowest polymorph listed for this composition = 17.7 meV/atom
# Magnetic moment = 0.0 μB/cell
# Energy of formation = -0.21 eV/atom
# DFT total energy = -44.473 eV/atom

No. 8
# SCAN Na2Pd2Pb, PBEsol geometry
data_Na2Pd2Pb
_chemical_formula_sum 'Na4 Pd4 Pb2'
_symmetry_space_group_name_H-M 'P 4/m b m'
_symmetry_Int_Tables_number 127
_symmetry_space_group_name_Hall '-P 4 2ab'
_cell_length_a 6.851
_cell_length_b 6.851
_cell_length_c 4.624
_cell_angle_alpha 90.00
_cell_angle_beta 90.00
_cell_angle_gamma 90.00
loop_
_atom_site_label
_atom_site_type_symbol
_atom_site_fract_x
_atom_site_fract_y
_atom_site_fract_z
_atom_site_occupancy
Na1 Na 0.165 0.335 0.000 1
Pd1 Pd 0.136 0.636 0.500 1
Pb1 Pb 0.000 0.000 0.500 1
# D(E_F) = 2.0 states/eV/f.u.
# Magnetic moment = 0.0 μB/cell
# Energy of formation = -0.22 eV/atom
# DFT total energy = -30.168 eV/atom

No. 9
# SCAN Na2PdPtPb, PBEsol geometry
data_Na2PdPtPb
_chemical_formula_sum 'Na2 Pd1 Pt1 Pb1'
_symmetry_space_group_name_H-M 'P 4/m m m'
_symmetry_Int_Tables_number 123
_symmetry_space_group_name_Hall '-P 4 2'
_cell_length_a 5.124
_cell_length_b 5.124
_cell_length_c 5.108
_cell_angle_alpha 90.00
_cell_angle_beta 90.00
_cell_angle_gamma 90.00
loop_
_atom_site_label
_atom_site_type_symbol
_atom_site_fract_x
_atom_site_fract_y
_atom_site_fract_z
_atom_site_occupancy
Na1 Na 0.000 0.500 0.000 1
Pd1 Pd 0.000 0.000 0.500 1
Pt1 Pt 0.500 0.500 0.000 1
Pb1 Pb 0.500 0.500 0.500 1
# D(E_F) = 2.1 states/eV/f.u.
# Magnetic moment = 0.0 μB/cell
# Energy of formation = 0.23 eV/atom
# DFT total energy = -37.209 eV/atom

No. 10
# SCAN Na2PtPb2, PBEsol geometry
data_Na2PtPb2
_chemical_formula_sum 'Na4 Pt2 Pb4'
_symmetry_space_group_name_H-M 'P 4/m b m'
_symmetry_Int_Tables_number 127
_symmetry_space_group_name_Hall '-P 4 2ab'
_cell_length_a 7.102
_cell_length_b 7.102
_cell_length_c 5.166
_cell_angle_alpha 90.00
_cell_angle_beta 90.00
_cell_angle_gamma 90.00
loop_
_atom_site_label
_atom_site_type_symbol
_atom_site_fract_x
_atom_site_fract_y
_atom_site_fract_z
_atom_site_occupancy
Na1 Na 0.172 0.328 0.000 1
Pt1 Pt 0.000 0.000 0.500 1
Pb1 Pb 0.149 0.649 0.500 1
# D(E_F) = 2.0 states/eV/f.u.
# Magnetic moment = 0.0 μB/cell
# Energy of formation = -0.27 eV/atom
# DFT total energy = -46.308 eV/atom

No. 11
# SCAN RbNa3Pb, PBEsol geometry
data_RbNa3Pb
_chemical_formula_sum 'Rb1 Na3 Pb1'
_symmetry_space_group_name_H-M 'P m -3 m'
_symmetry_Int_Tables_number 221
_symmetry_space_group_name_Hall '-P 4 2 3'
_cell_length_a 6.039
_cell_length_b 6.039
_cell_length_c 6.039
_cell_angle_alpha 90.00
_cell_angle_beta 90.00
_cell_angle_gamma 90.00
loop_
_atom_site_label
_atom_site_type_symbol
_atom_site_fract_x
_atom_site_fract_y
_atom_site_fract_z
_atom_site_occupancy
Rb1 Rb 0.000 0.000 0.000 1
Na1 Na 0.000 0.500 0.500 1
Pb1 Pb 0.500 0.500 0.500 1
# D(E_F) = 1.4 states/eV/f.u.
# Magnetic moment = 0.0 μB/cell
# Energy of formation = -0.17 eV/atom
# DFT total energy = -21.999 eV/atom

No. 12
# SCAN Na3RePb, PBEsol geometry
data_Na3RePb
_chemical_formula_sum 'Na3 Re1 Pb1'
_symmetry_space_group_name_H-M 'P m -3 m'
_symmetry_Int_Tables_number 221
_symmetry_space_group_name_Hall '-P 4 2 3'
_cell_length_a 5.531
_cell_length_b 5.531
_cell_length_c 5.531
_cell_angle_alpha 90.00
_cell_angle_beta 90.00
_cell_angle_gamma 90.00
loop_
_atom_site_label
_atom_site_type_symbol
_atom_site_fract_x
_atom_site_fract_y
_atom_site_fract_z
_atom_site_occupancy
Na1 Na 0.000 0.000 0.500 1
Re1 Re 0.000 0.000 0.000 1
Pb1 Pb 0.500 0.500 0.500 1
# D(E_F) = 5.4 states/eV/f.u.
# Magnetic moment = 3.4 μB/cell
# Energy of formation = 1.46 eV/atom
# DFT total energy = -30.441 eV/atom

No. 13
# SCAN NaReSnPb2, PBEsol geometry
data_NaReSnPb2
_chemical_formula_sum 'Na1 Re1 Sn1 Pb2'
_symmetry_space_group_name_H-M 'P 4/m m m'
_symmetry_Int_Tables_number 123
_symmetry_space_group_name_Hall '-P 4 2'
_cell_length_a 5.228
_cell_length_b 5.228
_cell_length_c 5.459
_cell_angle_alpha 90.00
_cell_angle_beta 90.00
_cell_angle_gamma 90.00
loop_
_atom_site_label
_atom_site_type_symbol
_atom_site_fract_x
_atom_site_fract_y
_atom_site_fract_z
_atom_site_occupancy
Na1 Na 0.000 0.000 0.000 1
Re1 Re 0.000 0.000 0.500 1
Sn1 Sn 0.500 0.500 0.000 1
Pb1 Pb 0.000 0.500 0.500 1
# D(E_F) = 4.8 states/eV/f.u.
# Magnetic moment = 0.0 μB/cell
# Energy of formation = 0.86 eV/atom
# DFT total energy = -51.702 eV/atom

No. 14
# SCAN Na2RePbW, PBEsol geometry
data_Na2RePbW
_chemical_formula_sum 'Na2 Re1 Pb1 W1'
_symmetry_space_group_name_H-M 'P 4/m m m'
_symmetry_Int_Tables_number 123
_symmetry_space_group_name_Hall '-P 4 2'
_cell_length_a 5.401
_cell_length_b 5.401
_cell_length_c 4.603
_cell_angle_alpha 90.00
_cell_angle_beta 90.00
_cell_angle_gamma 90.00
loop_
_atom_site_label
_atom_site_type_symbol
_atom_site_fract_x
_atom_site_fract_y
_atom_site_fract_z
_atom_site_occupancy
Na1 Na 0.000 0.500 0.000 1
Re1 Re 0.000 0.000 0.000 1
Pb1 Pb 0.500 0.500 0.500 1
W1 W 0.000 0.000 0.500 1
# D(E_F) = 3.0 states/eV/f.u.
# Magnetic moment = 0.2 μB/cell
# Energy of formation = 1.55 eV/atom
# DFT total energy = -43.449 eV/atom

No. 15
# SCAN NaRh2Pb2, PBEsol geometry
data_NaRh2Pb2
_chemical_formula_sum 'Na2 Rh4 Pb4'
_symmetry_space_group_name_H-M 'I 4/m m m'
_symmetry_Int_Tables_number 139
_symmetry_space_group_name_Hall '-I 4 2'
_cell_length_a 4.225
_cell_length_b 4.225
_cell_length_c 12.495
_cell_angle_alpha 90.00
_cell_angle_beta 90.00
_cell_angle_gamma 90.00
loop_
_atom_site_label
_atom_site_type_symbol
_atom_site_fract_x
_atom_site_fract_y
_atom_site_fract_z
_atom_site_occupancy
Na1 Na 0.000 0.000 0.000 1
Rh1 Rh 0.000 0.500 0.250 1
Pb1 Pb 0.000 0.000 0.377 1
# D(E_F) = 2.0 states/eV/f.u.
# Energy relative to the lowest polymorph listed for this composition = 0.0 meV/atom
# Magnetic moment = 0.0 μB/cell
# Energy of formation = -0.10 eV/atom
# DFT total energy = -44.759 eV/atom

No. 16
# SCAN NaRh2Pb2, PBEsol geometry
data_NaRh2Pb2
_chemical_formula_sum 'Na2 Rh4 Pb4'
_symmetry_space_group_name_H-M 'P 4/m b m'
_symmetry_Int_Tables_number 127
_symmetry_space_group_name_Hall '-P 4 2ab'
_cell_length_a 7.869
_cell_length_b 7.869
_cell_length_c 3.134
_cell_angle_alpha 90.00
_cell_angle_beta 90.00
_cell_angle_gamma 90.00
loop_
_atom_site_label
_atom_site_type_symbol
_atom_site_fract_x
_atom_site_fract_y
_atom_site_fract_z
_atom_site_occupancy
Na1 Na 0.000 0.000 0.000 1
Rh1 Rh 0.134 0.366 0.000 1
Pb1 Pb 0.162 0.662 0.500 1
# D(E_F) = 2.4 states/eV/f.u.
# Energy relative to the lowest polymorph listed for this composition = 10.9 meV/atom
# Magnetic moment = 0.0 μB/cell
# Energy of formation = -0.08 eV/atom
# DFT total energy = -44.748 eV/atom

No. 17
# SCAN NaRhPb3, PBEsol geometry
data_NaRhPb3
_chemical_formula_sum 'Na1 Rh1 Pb3'
_symmetry_space_group_name_H-M 'P m -3 m'
_symmetry_Int_Tables_number 221
_symmetry_space_group_name_Hall '-P 4 2 3'
_cell_length_a 5.276
_cell_length_b 5.276
_cell_length_c 5.276
_cell_angle_alpha 90.00
_cell_angle_beta 90.00
_cell_angle_gamma 90.00
loop_
_atom_site_label
_atom_site_type_symbol
_atom_site_fract_x
_atom_site_fract_y
_atom_site_fract_z
_atom_site_occupancy
Na1 Na 0.000 0.000 0.000 1
Rh1 Rh 0.500 0.500 0.500 1
Pb1 Pb 0.000 0.500 0.500 1
# D(E_F) = 5.9 states/eV/f.u.
# Magnetic moment = 0.0 μB/cell
# Energy of formation = 0.05 eV/atom
# DFT total energy = -53.016 eV/atom

No. 18
# SCAN NaSbRh2Pb, PBEsol geometry
data_NaSbRh2Pb
_chemical_formula_sum 'Na1 Sb1 Rh2 Pb1'
_symmetry_space_group_name_H-M 'P 4/m m m'
_symmetry_Int_Tables_number 123
_symmetry_space_group_name_Hall '-P 4 2'
_cell_length_a 4.712
_cell_length_b 4.712
_cell_length_c 4.826
_cell_angle_alpha 90.00
_cell_angle_beta 90.00
_cell_angle_gamma 90.00
loop_
_atom_site_label
_atom_site_type_symbol
_atom_site_fract_x
_atom_site_fract_y
_atom_site_fract_z
_atom_site_occupancy
Na1 Na 0.000 0.000 0.000 1
Sb1 Sb 0.500 0.500 0.500 1
Rh1 Rh 0.000 0.500 0.000 1
Pb1 Pb 0.000 0.000 0.500 1
# D(E_F) = 5.0 states/eV/f.u.
# Magnetic moment = 0.0 μB/cell
# Formation energy (no corrections) = 1260 meV/atom
# DFT total energy = -35.700 eV/atom

No. 19
# SCAN NaPbS3, PBEsol geometry
data_NaPbS3
_chemical_formula_sum 'Na1 Pb1 S3'
_symmetry_space_group_name_H-M 'P m -3 m'
_symmetry_Int_Tables_number 221
_symmetry_space_group_name_Hall '-P 4 2 3'
_cell_length_a 4.890
_cell_length_b 4.890
_cell_length_c 4.890
_cell_angle_alpha 90.00
_cell_angle_beta 90.00
_cell_angle_gamma 90.00
loop_
_atom_site_label
_atom_site_type_symbol
_atom_site_fract_x
_atom_site_fract_y
_atom_site_fract_z
_atom_site_occupancy
Na1 Na 0.000 0.000 0.000 1
Pb1 Pb 0.500 0.500 0.500 1
S1 S 0.000 0.000 0.500 1
# D(E_F) = 2.3 states/eV/f.u.
# Energy relative to the lowest polymorph listed for this composition = 293.3 meV/atom
# Magnetic moment = 3.0 μB/cell
# Formation energy (no corrections) = 350 meV/atom
# DFT total energy = -21.426 eV/atom

No. 20
# SCAN NaPbS2, PBEsol geometry
data_NaPbS2
_chemical_formula_sum 'Na4 Pb4 S8'
_symmetry_space_group_name_H-M 'I -4 2 d'
_symmetry_Int_Tables_number 122
_symmetry_space_group_name_Hall 'I -4 2bw'
_cell_length_a 6.221
_cell_length_b 6.221
_cell_length_c 12.620
_cell_angle_alpha 90.00
_cell_angle_beta 90.00
_cell_angle_gamma 90.00
loop_
_atom_site_label
_atom_site_type_symbol
_atom_site_fract_x
_atom_site_fract_y
_atom_site_fract_z
_atom_site_occupancy
Na1 Na 0.000 0.000 0.000 1
Pb1 Pb 0.000 0.000 0.500 1
S1 S 0.230 0.250 0.625 1
# D(E_F) = 2.2 states/eV/f.u.
# Magnetic moment = 0.0 μB/cell
# Formation energy (no corrections) = -597 meV/atom
# DFT total energy = -25.410 eV/atom